1:
This record from Alexandria describes a geometry-optimized LiAgHgSb structure. The functional is GGA-PBE.

Cell: 9.4764 4.2759 4.4807 Å, 90.00 111.38 90.00°
Closest atoms and distances in Å follow each position.
Space group Cm (No. 8)
Asymmetric unit:
1 Li 0.0000 0.0000 0.0000 [2 per cell]  3 Hg 2.84-3.06, 3 Ag 2.97-3.16, 4 Sb 3.07-3.13
2 Ag 0.2601 0.5000 0.2813 [2 per cell]  3 Sb 2.93-3.02, 4 Li 2.97-3.19, 4 Hg 3.02-3.18
3 Hg 0.2527 0.0000 0.8005 [2 per cell]  3 Li 2.84-3.06, 4 Ag 3.02-3.18, 4 Sb 3.12-3.14
4 Sb 0.0017 0.5000 0.4921 [2 per cell]  3 Ag 2.93-3.02, 4 Li 3.07-3.13, 4 Hg 3.12-3.14

* total magnetic moment: 0.00 μB per formula unit
* crystal system: monoclinic

***

2:
This record from Alexandria describes a geometry-optimized LiAgHgSb structure. The functional is GGA-PBE.

Cell: 6.9574 6.9574 6.9574 Å, 90.00 90.00 90.00°
Closest atoms and distances in Å follow each position.
Space group F-43m (No. 216)
Asymmetric unit:
1 Li 0.0000 0.0000 0.0000 [4 per cell]  4 Hg 3.01, 4 Sb 3.01
2 Ag 0.0000 0.0000 0.5000 [4 per cell]  4 Hg 3.01, 4 Sb 3.01
3 Hg 0.2500 0.2500 0.7500 [4 per cell]  4 Li 3.01, 4 Ag 3.01
4 Sb 0.2500 0.2500 0.2500 [4 per cell]  4 Li 3.01, 4 Ag 3.01

* total magnetic moment: 0.00 μB per formula unit
* crystal system: cubic

***

1 (0.026 eV/atom below the next structure)